SnWF3 (PBE with a Hubbard U, relaxed); VASP energy = -4.265 eV per atom; SG = Pm-3m; ΔE to the lowest computed polymorph = 0.531 eV per atom; M_tot = 1.0280 μB per atom; crystal system = cubic
1.0
-1.7938 -3.3880 2.5466
3.9596 -0.3534 2.3189
-1.5115 3.0948 3.0526
Sn F W
1 3 1
direct
0.0000 0.0000 0.0000 Sn
0.0000 0.0000 0.5000 F
0.0000 0.5000 0.0000 F
0.5000 0.0000 0.0000 F
0.5000 0.5000 0.5000 W